# 1
VASP calculation (GGA-PBE) on an optimized crystal structure of MnAgTe2.

Values from the calculation:
**ΔE_f (raw)**: 17 kJ/mol of atoms
**Mass density**: 7.1 g cm⁻³

abc: 3.240 3.240 9.511
angles: 90.00 90.00 101.71
Site moments in Bohr magnetons follow the coordinates.
Atoms (fractional coordinates):
1 Ag 0.000 0.000 0.540  0.00
2 Mn 0.500 0.500 0.733  3.60
3 Te 0.000 0.000 0.919  -0.10
4 Te 0.500 0.500 0.308  0.00


# 2
VASP calculation (GGA-PBE) on an optimized crystal structure of MnAgTe2.

Values from the calculation:
**ΔE_f (raw)**: 5 kJ/mol of atoms
**Mass density**: 6.8 g cm⁻³

abc: 7.262 4.175 7.256
angles: 86.90 69.18 86.93
Site moments in Bohr magnetons follow the coordinates.
Atoms (fractional coordinates):
1 Mn 0.445 0.513 0.844  0.53
2 Mn 0.543 0.118 0.942  0.53
3 Te 0.743 0.285 0.142  -0.02
4 Te 0.745 0.816 0.642  -0.02
5 Te 0.243 0.815 0.145  -0.02
6 Te 0.245 0.345 0.645  -0.02
7 Ag 0.494 0.815 0.393  0.00
8 Ag 0.994 0.815 0.893  0.00


# 3
VASP calculation (GGA-PBE) on an optimized crystal structure of Mn2Ag14Te9.

Values from the calculation:
**ΔE_f (raw)**: -5 kJ/mol of atoms
**Mass density**: 7.0 g cm⁻³

abc: 8.162 8.235 11.283
angles: 90.77 89.99 120.41
Site moments in Bohr magnetons follow the coordinates.
Atoms (fractional coordinates):
1 Mn 0.323 0.701 0.269  4.12
2 Mn 0.677 0.299 0.731  4.12
3 Ag 0.035 0.700 0.900  0.02
4 Ag 0.343 0.996 0.581  0.03
5 Ag 0.983 0.253 0.589  0.03
6 Ag 0.998 0.046 0.270  0.02
7 Ag 0.002 0.954 0.730  0.02
8 Ag 0.335 0.344 0.937  0.02
9 Ag 0.643 0.971 0.935  0.02
10 Ag 0.315 0.381 0.430  0.02
11 Ag 0.685 0.619 0.570  0.02
12 Ag 0.357 0.029 0.065  0.02
13 Ag 0.665 0.656 0.063  0.02
14 Ag 0.017 0.747 0.411  0.03
15 Ag 0.657 0.004 0.419  0.03
16 Ag 0.965 0.300 0.100  0.02
17 Te 0.355 0.050 0.322  0.04
18 Te 0.987 0.381 0.344  0.04
19 Te 0.311 0.656 0.027  0.03
20 Te 0.000 0.000 0.000  0.02
21 Te 0.350 0.320 0.681  0.04
22 Te 0.650 0.680 0.319  0.04
23 Te 0.689 0.344 0.973  0.03
24 Te 0.013 0.619 0.656  0.04
25 Te 0.645 0.950 0.678  0.04


# 4
VASP calculation (GGA-PBE) on an optimized crystal structure of MnAgTe2.

Values from the calculation:
**ΔE_f (raw)**: 25 kJ/mol of atoms
**Mass density**: 8.0 g cm⁻³

abc: 12.327 5.484 5.484
angles: 82.34 125.51 54.49
Atoms (fractional coordinates):
1 Mn 0.228 0.647 0.677
2 Mn 0.728 0.823 0.853
3 Te 0.169 0.224 0.513
4 Te 0.669 0.987 0.276
5 Te 0.304 0.622 0.266
6 Te 0.804 0.234 0.878
7 Ag 0.317 0.122 0.209
8 Ag 0.817 0.291 0.378


# 5
VASP calculation (GGA-PBE) on an optimized crystal structure of MnAgTe2.

Values from the calculation:
**ΔE_f (raw)**: 21 kJ/mol of atoms
**Mass density**: 6.2 g cm⁻³

abc: 6.142 6.142 7.338
angles: 65.26 65.26 90.00
Atoms (fractional coordinates):
1 Mn 0.500 0.500 0.000
2 Mn 0.250 0.750 0.500
3 Te 0.578 0.125 0.250
4 Te 0.172 0.625 0.250
5 Te 0.375 0.422 0.750
6 Te 0.875 0.828 0.750
7 Ag 0.000 0.000 0.000
8 Ag 0.750 0.250 0.500


# 6
VASP calculation (GGA-PBE) on an optimized crystal structure of MnAgTe2.

Values from the calculation:
**ΔE_f (raw)**: -7 kJ/mol of atoms
**Mass density**: 6.3 g cm⁻³

abc: 8.631 7.303 3.885
angles: 74.39 77.14 103.24
Site moments in Bohr magnetons follow the coordinates.
Atoms (fractional coordinates):
1 Mn 0.518 0.716 0.593  3.59
2 Mn 0.814 0.595 0.008  3.59
3 Te 0.860 0.877 0.343  -0.07
4 Te 0.472 0.435 0.258  -0.07
5 Te 0.934 0.397 0.549  -0.06
6 Te 0.398 0.914 0.053  -0.06
7 Ag 0.166 0.655 0.801  0.01
8 Ag 0.666 0.156 0.301  0.00


# 7
VASP calculation (GGA-PBE) on an optimized crystal structure of MnAgTe2.

Values from the calculation:
**ΔE_f (raw)**: -5 kJ/mol of atoms
**Mass density**: 6.6 g cm⁻³

abc: 5.210 4.571 4.571
angles: 74.64 90.00 90.00
Site moments in Bohr magnetons follow the coordinates.
Atoms (fractional coordinates):
1 Ag 0.000 0.512 0.512  0.02
2 Mn 0.500 0.739 0.739  4.09
3 Te 0.000 0.899 0.899  -0.03
4 Te 0.500 0.350 0.350  -0.02


# 8
VASP calculation (GGA-PBE) on an optimized crystal structure of MnAg4Te4.

Values from the calculation:
**ΔE_f (raw)**: -4 kJ/mol of atoms
**Mass density**: 6.2 g cm⁻³

abc: 6.446 6.446 7.858
angles: 114.21 114.21 90.00
Site moments in Bohr magnetons follow the coordinates.
Atoms (fractional coordinates):
1 Mn 0.000 0.000 0.000  3.69
2 Ag 0.500 0.000 0.000  -0.05
3 Ag 0.000 0.500 0.000  -0.05
4 Ag 0.248 0.248 0.496  -0.04
5 Ag 0.752 0.752 0.504  -0.04
6 Te 0.632 0.632 0.755  -0.11
7 Te 0.368 0.877 0.245  -0.11
8 Te 0.123 0.123 0.755  -0.11
9 Te 0.877 0.368 0.245  -0.11